(1)
YPdPt | PBE-GGA | relaxed

a = 3.595 Å, b = 4.472 Å, c = 4.472 Å
α = 120.00°, β = 90.00°, γ = 90.00°
Atoms (fractional coordinates):
Y 0.667 0.667 0.333
Pd 0.167 0.000 0.000
Pt 0.167 0.333 0.667

VASP energy: -6.747 eV per atom

(2)
Y2PdPt | PBE-GGA | relaxed

a = 6.202 Å, b = 6.202 Å, c = 6.202 Å
α = 60.94°, β = 150.68°, γ = 127.86°
Atoms (fractional coordinates):
Pt 0.000 0.500 0.500
Y 0.000 0.750 0.750
Y 0.000 0.250 0.250
Pd 0.000 0.000 0.000

VASP energy: -5.956 eV per atom

(3)
Y2PdPt9 | PBE-GGA | relaxed

a = 5.373 Å, b = 5.373 Å, c = 9.324 Å
α = 73.25°, β = 73.25°, γ = 60.00°
Atoms (fractional coordinates):
Y 0.134 0.134 0.598
Pt 0.587 0.081 0.745
Pt 0.413 0.919 0.255
Pt 0.081 0.587 0.745
Pt 0.333 0.333 0.002
Pt 0.667 0.667 0.998
Y 0.866 0.866 0.402
Pt 0.587 0.587 0.745
Pd 0.000 0.000 0.000
Pt 0.500 0.500 0.500
Pt 0.919 0.413 0.255
Pt 0.413 0.413 0.255

VASP energy: -6.619 eV per atom

(4)
YPd3Pt2 | PBE-GGA | relaxed

a = 5.288 Å, b = 5.684 Å, c = 7.614 Å
α = 111.92°, β = 90.00°, γ = 90.00°
Atoms (fractional coordinates):
Pd 0.250 0.083 0.661
Pd 0.750 0.841 0.682
Pt 0.000 0.240 0.000
Pd 0.250 0.578 0.661
Pt 0.000 0.760 0.000
Pd 0.250 0.159 0.318
Pd 0.750 0.917 0.339
Pt 0.500 0.760 0.000
Y 0.250 0.657 0.313
Y 0.750 0.343 0.687
Pd 0.750 0.422 0.339
Pt 0.500 0.240 0.000

VASP energy: -6.130 eV per atom

(5)
Y4Pd12Pt | PBE-GGA | relaxed

a = 7.394 Å, b = 7.394 Å, c = 7.394 Å
α = 109.47°, β = 109.47°, γ = 109.47°
Atoms (fractional coordinates):
Pd 0.000 0.698 0.698
Pd 0.000 0.302 0.302
Pd 0.698 0.000 0.698
Y 0.500 0.000 0.000
Pd 0.302 0.302 0.000
Pd 0.250 0.750 0.500
Pd 0.750 0.500 0.250
Y 0.500 0.500 0.500
Y 0.000 0.000 0.500
Pd 0.302 0.000 0.302
Pd 0.500 0.250 0.750
Pd 0.750 0.250 0.500
Pd 0.698 0.698 0.000
Pt 0.000 0.000 0.000
Y 0.000 0.500 0.000
Pd 0.250 0.500 0.750
Pd 0.500 0.750 0.250

VASP energy: -6.287 eV per atom

(6)
YPd2Pt | PBE-GGA | relaxed

a = 5.088 Å, b = 10.165 Å, c = 4.149 Å
α = 114.05°, β = 114.01°, γ = 109.48°
Atoms (fractional coordinates):
Pd 0.755 0.126 0.004
Pd 0.000 0.000 0.500
Y 0.503 0.251 0.503
Pt 0.747 0.625 0.997
Y 0.497 0.749 0.497
Pd 0.000 0.500 0.500
Pd 0.245 0.874 0.996
Pt 0.253 0.375 0.003

VASP energy: -6.526 eV per atom

(7)
YPd3Pt | PBE-GGA | relaxed

a = 4.890 Å, b = 4.890 Å, c = 4.890 Å
α = 90.00°, β = 90.00°, γ = 90.00°
Atoms (fractional coordinates):
Pd 0.000 0.500 0.000
Y 0.500 0.500 0.500
Pd 0.000 0.000 0.500
Pd 0.500 0.000 0.000
Pt 0.000 0.000 0.000

VASP energy: -5.331 eV per atom

(8)
YPd8Pt2 | PBE-GGA | relaxed

a = 5.433 Å, b = 7.152 Å, c = 7.152 Å
α = 44.27°, β = 77.46°, γ = 77.46°
Atoms (fractional coordinates):
Pd 0.811 0.582 0.582
Pd 0.657 0.162 0.651
Pd 0.189 0.418 0.418
Pd 0.657 0.651 0.162
Y 0.000 0.000 0.000
Pd 0.343 0.349 0.838
Pd 0.010 0.244 0.244
Pd 0.990 0.756 0.756
Pt 0.532 0.234 0.234
Pd 0.343 0.838 0.349
Pt 0.468 0.766 0.766

VASP energy: -5.651 eV per atom

(9)
YPdPt3 | PBE-GGA | relaxed

a = 4.452 Å, b = 6.489 Å, c = 6.392 Å
α = 90.00°, β = 90.00°, γ = 90.00°
Atoms (fractional coordinates):
Pd 0.500 0.500 0.455
Pd 0.000 0.000 0.545
Pt 0.000 0.699 0.245
Pt 0.000 0.000 0.951
Y 0.500 0.000 0.248
Pt 0.500 0.801 0.755
Pt 0.500 0.500 0.049
Pt 0.500 0.199 0.755
Y 0.000 0.500 0.752
Pt 0.000 0.301 0.245

VASP energy: -6.508 eV per atom

(10)
Y6Pd5Pt | PBE-GGA | relaxed

a = 5.006 Å, b = 6.955 Å, c = 7.893 Å
α = 90.00°, β = 71.51°, γ = 90.00°
Atoms (fractional coordinates):
Pt 0.000 0.000 0.000
Y 0.835 0.751 0.331
Y 0.500 0.247 0.000
Y 0.500 0.753 0.000
Pd 0.666 0.500 0.669
Pd 0.330 0.000 0.340
Y 0.835 0.249 0.331
Y 0.165 0.751 0.669
Pd 0.670 0.000 0.660
Pd 0.000 0.500 0.000
Pd 0.334 0.500 0.331
Y 0.165 0.249 0.669

VASP energy: -6.834 eV per atom

(11)
YPd2Pt2 | PBE-GGA | relaxed

a = 7.238 Å, b = 7.238 Å, c = 3.443 Å
α = 90.00°, β = 90.00°, γ = 90.00°
Atoms (fractional coordinates):
Pd 0.133 0.367 0.000
Pd 0.633 0.133 0.000
Pt 0.335 0.165 0.500
Pt 0.165 0.665 0.500
Y 0.000 0.000 0.000
Pt 0.665 0.835 0.500
Y 0.500 0.500 0.000
Pd 0.867 0.633 0.000
Pt 0.835 0.335 0.500
Pd 0.367 0.867 0.000

VASP energy: -6.290 eV per atom

(12)
Y4PdPt2 | PBE-GGA | relaxed

a = 4.922 Å, b = 4.922 Å, c = 8.513 Å
α = 73.20°, β = 73.20°, γ = 60.00°
Atoms (fractional coordinates):
Y 0.376 0.376 0.872
Pt 0.751 0.751 0.747
Y 0.624 0.624 0.128
Y 0.126 0.126 0.622
Y 0.874 0.874 0.378
Pt 0.249 0.249 0.253
Pd 0.000 0.000 0.000

VASP energy: -7.131 eV per atom

(13)
YPd2Pt2 | PBE-GGA | relaxed

a = 3.858 Å, b = 3.858 Å, c = 6.952 Å
α = 73.89°, β = 73.89°, γ = 90.00°
Atoms (fractional coordinates):
Y 0.000 0.000 0.000
Pd 0.250 0.750 0.500
Pt 0.401 0.401 0.199
Pt 0.599 0.599 0.801
Pd 0.750 0.250 0.500

VASP energy: -6.357 eV per atom

(14)
YPd3Pt | PBE-GGA | relaxed

a = 5.037 Å, b = 5.037 Å, c = 9.765 Å
α = 104.95°, β = 104.95°, γ = 90.00°
Atoms (fractional coordinates):
Pd 0.622 0.874 0.747
Y 0.914 0.414 0.829
Pd 0.320 0.320 0.640
Pd 0.680 0.680 0.360
Pt 0.000 0.000 0.000
Pd 0.126 0.875 0.253
Pd 0.126 0.378 0.253
Y 0.586 0.086 0.171
Pt 0.250 0.750 0.500
Pd 0.125 0.874 0.747

VASP energy: -5.758 eV per atom

(15)
YPdPt | PBE-GGA | relaxed

a = 5.518 Å, b = 7.934 Å, c = 7.934 Å
α = 67.39°, β = 59.77°, γ = 59.77°
Atoms (fractional coordinates):
Pd 0.708 0.325 0.075
Y 0.827 0.015 0.765
Y 0.173 0.485 0.735
Pd 0.292 0.175 0.425
Pt 0.762 0.919 0.169
Y 0.827 0.515 0.265
Pt 0.762 0.419 0.669
Pd 0.292 0.675 0.925
Pd 0.708 0.825 0.575
Y 0.173 0.985 0.235
Pt 0.238 0.581 0.331
Pt 0.238 0.081 0.831

VASP energy: -6.692 eV per atom

(16)
Y6Pd2Pt | PBE-GGA | relaxed

a = 6.608 Å, b = 7.308 Å, c = 10.212 Å
α = 90.00°, β = 92.04°, γ = 90.00°
Atoms (fractional coordinates):
Y 0.340 0.540 0.744
Pt 0.500 0.500 0.000
Y 0.675 0.169 0.928
Pd 0.061 0.618 0.236
Y 0.345 0.814 0.431
Y 0.845 0.686 0.931
Y 0.175 0.331 0.428
Pt 0.000 0.000 0.500
Y 0.825 0.669 0.572
Y 0.655 0.186 0.569
Y 0.325 0.831 0.072
Y 0.160 0.040 0.756
Y 0.660 0.460 0.256
Pd 0.939 0.382 0.764
Pd 0.561 0.882 0.736
Y 0.840 0.960 0.244
Pd 0.439 0.118 0.264
Y 0.155 0.314 0.069

VASP energy: -6.784 eV per atom

(17)
Y2PdPt4 | PBE-GGA | relaxed

a = 3.910 Å, b = 3.910 Å, c = 9.614 Å
α = 101.73°, β = 101.73°, γ = 90.00°
Atoms (fractional coordinates):
Pd 0.000 0.000 0.000
Y 0.604 0.604 0.207
Pt 0.750 0.250 0.500
Pt 0.250 0.750 0.500
Pt 0.857 0.857 0.713
Pt 0.143 0.143 0.287
Y 0.396 0.396 0.793

VASP energy: -6.850 eV per atom

(18)
Y2PdPt9 | PBE-GGA | relaxed

a = 4.068 Å, b = 4.068 Å, c = 12.272 Å
α = 90.00°, β = 90.00°, γ = 90.00°
Atoms (fractional coordinates):
Pt 0.000 0.500 0.841
Pt 0.500 0.500 0.000
Pt 0.000 0.500 0.500
Pt 0.000 0.500 0.159
Pd 0.000 0.000 0.000
Pt 0.500 0.500 0.330
Pt 0.500 0.500 0.670
Y 0.000 0.000 0.330
Pt 0.500 0.000 0.841
Pt 0.500 0.000 0.500
Pt 0.500 0.000 0.159
Y 0.000 0.000 0.670

VASP energy: -6.689 eV per atom

(19)
Y2PdPt | PBE-GGA | relaxed

a = 7.555 Å, b = 7.555 Å, c = 6.302 Å
α = 53.17°, β = 53.17°, γ = 90.00°
Atoms (fractional coordinates):
Y 0.628 0.125 0.250
Pd 0.250 0.750 0.500
Y 0.875 0.878 0.750
Y 0.375 0.372 0.750
Y 0.122 0.625 0.250
Pd 0.500 0.500 0.000
Pt 0.000 0.000 0.000
Pt 0.750 0.250 0.500

VASP energy: -6.665 eV per atom

(20)
YPd2Pt2 | PBE-GGA | relaxed

a = 4.925 Å, b = 4.925 Å, c = 5.436 Å
α = 116.94°, β = 116.94°, γ = 90.00°
Atoms (fractional coordinates):
Pd 0.650 0.650 0.300
Pt 0.250 0.750 0.500
Y 0.000 0.000 0.000
Pd 0.350 0.350 0.700
Pt 0.750 0.250 0.500

VASP energy: -6.049 eV per atom

Number 1: energy of formation -0.8477 eV/atom. Number 2: energy of formation 0.0847 eV/atom. Number 3: energy of formation -0.5788 eV/atom. Number 4: energy of formation -0.4430 eV/atom. Number 5: energy of formation -0.7450 eV/atom. Number 6: energy of formation -0.8033 eV/atom. Number 7: energy of formation 0.2858 eV/atom. Number 8: energy of formation -0.1882 eV/atom. Number 9: energy of formation -0.5519 eV/atom. Number 10: energy of formation -0.9350 eV/atom. Number 11: energy of formation -0.5042 eV/atom. Number 12: energy of formation -0.9691 eV/atom. Number 13: energy of formation -0.5711 eV/atom. Number 14: energy of formation -0.1413 eV/atom. Number 15: energy of formation -0.7931 eV/atom. Number 16: energy of formation -0.6497 eV/atom. Number 17: energy of formation -0.8091 eV/atom. Number 18: energy of formation -0.6482 eV/atom. Number 19: energy of formation -0.6248 eV/atom. Number 20: energy of formation -0.2623 eV/atom.